(1)
Computed, not measured: a relaxed structure of NpF6 at the GGA-PBEsol level of DFT.

Values from the calculation:
As for the formation energy without anion corrections: -21.3 eV/f.u. As for the space-group type: Pnma. For the calculated volume, the calculation gives 16.56 A^3/atom. The energy comes out at -6.678 eV per atom.

Geometry as POSCAR:
```
NpF6
1.0
9.892 0.000 0.000
0.000 8.987 0.000
0.000 0.000 5.216
Np F
4 24
Cartesian
1.282 2.247 0.398
3.664 6.740 3.006
6.229 2.247 2.210
8.610 6.740 4.817
0.128 0.845 1.214
0.128 3.649 1.214
0.135 2.247 3.986
2.433 0.841 4.804
2.436 2.247 2.026
2.433 3.653 4.804
2.513 5.334 2.196
2.510 6.740 4.634
2.513 8.147 2.196
4.811 6.740 1.379
4.818 5.339 3.821
4.818 8.142 3.821
5.074 0.845 1.394
5.074 3.649 1.394
5.081 2.247 3.837
7.379 0.841 3.020
7.382 2.247 0.582
7.379 3.653 3.020
7.460 5.334 0.412
7.456 6.740 3.190
7.460 8.147 0.412
9.757 6.740 1.229
9.764 5.339 4.002
9.764 8.142 4.002
```

---

(2)
Computed, not measured: a relaxed structure of PWICl2 at the GGA-PBEsol level of DFT.

Values from the calculation:
As for the formation energy without anion corrections: 0.5 eV/f.u. The value obtained for the density of states at the Fermi level is 2.4 states/eV per cell. As for the space-group type: P4/mmm. For the calculated volume, the calculation gives 21.35 A^3/atom. The energy comes out at -4.972 eV per atom.

Geometry as POSCAR:
```
PWICl2
1.0
4.639 0.000 0.000
0.000 4.639 0.000
0.000 0.000 4.961
P W I Cl
1 1 1 2
Cartesian
0.000 0.000 0.000
0.000 0.000 2.480
2.320 2.320 0.000
0.000 2.320 2.480
2.320 0.000 2.480
```

---

(3)
Computed, not measured: a relaxed structure of RbLiF3 at the GGA-PBEsol level of DFT.

Values from the calculation:
As for the formation energy without anion corrections: -11.2 eV/f.u. The value obtained for the density of states at the Fermi level is 6.6 states/eV per cell. As for the space-group type: Pm-3m. For the calculated volume, the calculation gives 13.24 A^3/atom. The energy comes out at -3.985 eV per atom.

Geometry as POSCAR:
```
RbLiF3
1.0
4.046 0.000 0.000
0.000 4.046 0.000
0.000 0.000 4.046
Rb Li F
1 1 3
Cartesian
0.000 0.000 0.000
2.023 2.023 2.023
0.000 2.023 2.023
2.023 0.000 2.023
2.023 2.023 0.000
```

---

What did the second record say?
Computed, not measured: a relaxed structure of PWICl2 at the GGA-PBEsol level of DFT.

Values from the calculation:
As for the formation energy without anion corrections: 0.5 eV/f.u. The value obtained for the density of states at the Fermi level is 2.4 states/eV per cell. As for the space-group type: P4/mmm. For the calculated volume, the calculation gives 21.35 A^3/atom. The energy comes out at -4.972 eV per atom.

Geometry as POSCAR:
```
PWICl2
1.0
4.639 0.000 0.000
0.000 4.639 0.000
0.000 0.000 4.961
P W I Cl
1 1 1 2
Cartesian
0.000 0.000 0.000
0.000 0.000 2.480
2.320 2.320 0.000
0.000 2.320 2.480
2.320 0.000 2.480
```